# LaSm2Co6 (PBE, relaxed)
data_LaSm2Co6
_cell_length_a 6.7564
_cell_length_b 6.7564
_cell_length_c 4.1977
_cell_angle_alpha 90.00
_cell_angle_beta 90.00
_cell_angle_gamma 120.00
_symmetry_space_group_name_H-M 'P 6/m m m'
_symmetry_Int_Tables_number 191
_symmetry_space_group_name_Hall '-P 6 2'
loop_
_atom_site_label
_atom_site_fract_x
_atom_site_fract_y
_atom_site_fract_z
La1 0.0000 0.0000 0.0000
Sm1 0.3333 0.6667 0.0000
Co1 0.0000 0.3347 0.5000
# **Formation energy from the elements**: -0.095 eV/atom
# **Electronic total energy**: -57.9 eV per formula unit